No. 1
# GGA-PBE ScGaHg3, optimized geometry
# **E above lowest polymorph**: 0.566 eV/f.u.
# **Formation enthalpy at 0 K**: 0.418 eV per atom
# **Fermi-level density of states**: 8.6 states/eV/cell
# **Uncorrected energy**: -1.635 eV per atom
# **Magnetization**: 0.00 μB per formula unit
data_ScGaHg3
_chemical_formula_sum 'Sc1 Ga1 Hg3'
_cell_length_a 5.563
_cell_length_b 5.563
_cell_length_c 5.563
_cell_angle_alpha 90.00
_cell_angle_beta 90.00
_cell_angle_gamma 90.00
_space_group_name_H-M_alt 'P 1'
_space_group_IT_number 1
_space_group_name_Hall 'P 1'
loop_
_atom_site_label
_atom_site_type_symbol
_atom_site_fract_x
_atom_site_fract_y
_atom_site_fract_z
_atom_site_occupancy
Sc1 Sc 0.000 0.000 0.000 1
Hg1 Hg 0.000 0.500 0.000 1
Hg2 Hg 0.000 0.000 0.500 1
Hg3 Hg 0.500 0.000 0.000 1
Ga1 Ga 0.500 0.500 0.500 1

No. 2
# GGA-PBE Sc3Ga2Hg, optimized geometry
# **Formation enthalpy at 0 K**: -0.539 eV per atom
# **Fermi-level density of states**: 2.7 states/eV/cell
# **Uncorrected energy**: -4.764 eV per atom
# **Magnetization**: 0.00 μB per formula unit
data_Sc3Ga2Hg
_chemical_formula_sum 'Sc3 Ga2 Hg1'
_cell_length_a 3.285
_cell_length_b 3.285
_cell_length_c 11.035
_cell_angle_alpha 90.00
_cell_angle_beta 90.00
_cell_angle_gamma 90.00
_space_group_name_H-M_alt 'P 1'
_space_group_IT_number 1
_space_group_name_Hall 'P 1'
loop_
_atom_site_label
_atom_site_type_symbol
_atom_site_fract_x
_atom_site_fract_y
_atom_site_fract_z
_atom_site_occupancy
Sc1 Sc 0.000 0.000 0.000 1
Sc2 Sc 0.000 0.000 0.682 1
Sc3 Sc 0.000 0.000 0.318 1
Ga1 Ga 0.500 0.500 0.838 1
Ga2 Ga 0.500 0.500 0.162 1
Hg1 Hg 0.500 0.500 0.500 1

No. 3
# GGA-PBE Sc2Ga2Hg, optimized geometry
# **Formation enthalpy at 0 K**: -0.500 eV per atom
# **Fermi-level density of states**: 4.3 states/eV/cell
# **Uncorrected energy**: -4.304 eV per atom
# **Magnetization**: 0.00 μB per formula unit
data_Sc2Ga2Hg
_chemical_formula_sum 'Sc2 Ga2 Hg1'
_cell_length_a 3.276
_cell_length_b 4.188
_cell_length_c 7.427
_cell_angle_alpha 106.38
_cell_angle_beta 90.00
_cell_angle_gamma 90.00
_space_group_name_H-M_alt 'P 1'
_space_group_IT_number 1
_space_group_name_Hall 'P 1'
loop_
_atom_site_label
_atom_site_type_symbol
_atom_site_fract_x
_atom_site_fract_y
_atom_site_fract_z
_atom_site_occupancy
Sc1 Sc 0.500 0.621 0.243 1
Sc2 Sc 0.500 0.379 0.757 1
Ga1 Ga 0.000 0.200 0.401 1
Ga2 Ga 0.000 0.800 0.599 1
Hg1 Hg 0.000 0.000 0.000 1

No. 4
# GGA-PBE Sc3Ga3Hg, optimized geometry
# **Formation enthalpy at 0 K**: -0.501 eV per atom
# **Fermi-level density of states**: 10.2 states/eV/cell
# **Uncorrected energy**: -4.555 eV per atom
# **Magnetization**: 0.00 μB per formula unit
data_Sc3Ga3Hg
_chemical_formula_sum 'Sc6 Ga6 Hg2'
_cell_length_a 4.272
_cell_length_b 5.652
_cell_length_c 12.884
_cell_angle_alpha 82.62
_cell_angle_beta 80.46
_cell_angle_gamma 67.79
_space_group_name_H-M_alt 'P 1'
_space_group_IT_number 1
_space_group_name_Hall 'P 1'
loop_
_atom_site_label
_atom_site_type_symbol
_atom_site_fract_x
_atom_site_fract_y
_atom_site_fract_z
_atom_site_occupancy
Sc1 Sc 0.519 0.331 0.630 1
Sc2 Sc 0.481 0.669 0.370 1
Sc3 Sc 0.274 0.238 0.214 1
Sc4 Sc 0.726 0.762 0.786 1
Sc5 Sc 0.393 0.287 0.926 1
Sc6 Sc 0.607 0.713 0.074 1
Ga1 Ga 0.882 0.680 0.557 1
Ga2 Ga 0.118 0.320 0.443 1
Ga3 Ga 0.116 0.841 0.928 1
Ga4 Ga 0.884 0.159 0.072 1
Ga5 Ga 0.997 0.787 0.220 1
Ga6 Ga 0.003 0.213 0.780 1
Hg1 Hg 0.768 0.075 0.388 1
Hg2 Hg 0.232 0.925 0.612 1